# FePtSe2 | Alexandria | GGA-PBEsol | relaxed
data_FePtSe2
_chemical_formula_sum 'Fe2 Pt2 Se4'
_symmetry_space_group_name_H-M 'I 4/m m m'
_symmetry_Int_Tables_number 139
_symmetry_space_group_name_Hall '-I 4 2'
_cell_length_a 5.073
_cell_length_b 5.073
_cell_length_c 5.404
_cell_angle_alpha 90.00
_cell_angle_beta 90.00
_cell_angle_gamma 90.00
loop_
_atom_site_label
_atom_site_fract_x
_atom_site_fract_y
_atom_site_fract_z
Fe1 0.000 0.000 0.000
Pt1 0.000 0.000 0.500
Se1 0.000 0.500 0.000
# Total moment in μB/atom: 0.791
# Relative energy among the computed polymorphs in meV/atom: 140
# Energy relative to the elements, uncorrected in eV per atom: 0.208
# Raw total energy in eV/cell: -45.59